1.
Compound: CoC2
Source: the Alexandria database
Functional: PBE
Structure: optimized geometry

Unit cell a=2.5818 b=2.5818 c=14.4112 alpha=90.00 beta=90.00 gamma=90.00
Last column: nearest neighbours and their distance in Å.
Space group I4_1/amd (No. 141, origin choice 2)
Asymmetric unit:
Co1 0.0000 0.2500 0.3750 (multiplicity 4)  4 C 1.94
C1 0.0000 0.2500 0.0248 (multiplicity 8)  2 C 1.48

Size of the total moment = 0.00 Bohr magnetons per cell
Excess energy over the best structure of this formula in the dataset = 0.406 eV per formula unit
Total DFT energy (no corrections) = -7.89 eV/atom

2.
Compound: Co3C
Source: the Alexandria database
Functional: PBE
Structure: optimized geometry

Unit cell a=4.9032 b=12.2714 c=2.5479 alpha=90.00 beta=90.00 gamma=90.00
Last column: nearest neighbours and their distance in Å.
Space group Cmcm (No. 63)
Asymmetric unit:
Co1 0.0000 0.2389 0.2500 (multiplicity 4)  2 C 1.97
Co2 0.2405 0.0866 0.7500 (multiplicity 8)  2 C 1.91
C1 0.0000 0.3617 0.7500 (multiplicity 4)  6 Co 1.91-1.97

Size of the total moment = 9.65 Bohr magnetons per cell
Total DFT energy (no corrections) = -7.34 eV/atom

3.
Compound: CoC
Source: the Alexandria database
Functional: PBE
Structure: optimized geometry

Unit cell a=2.4589 b=2.4589 c=20.8397 alpha=90.00 beta=90.00 gamma=120.00
Last column: nearest neighbours and their distance in Å.
Space group P6_3/mmc (No. 194)
Asymmetric unit:
Co1 0.3333 0.6667 0.0464 (multiplicity 4)  9 Co 2.40-2.46
C1 0.0000 0.0000 0.2500 (multiplicity 2)  3 C 1.42
C2 0.3333 0.6667 0.7500 (multiplicity 2)  3 C 1.42

Size of the total moment = 6.64 Bohr magnetons per cell
Total DFT energy (no corrections) = -7.83 eV/atom

4.
Compound: Co2C
Source: the Alexandria database
Functional: PBE
Structure: optimized geometry

Unit cell a=4.7441 b=4.7441 c=4.5868 alpha=90.00 beta=90.00 gamma=90.00
Last column: nearest neighbours and their distance in Å.
Space group I4/mcm (No. 140)
Asymmetric unit:
Co1 0.1853 0.3147 0.0000 (multiplicity 8)  4 C 2.08
C1 0.0000 0.0000 0.2500 (multiplicity 4)  8 Co 2.08, 2 C 2.29

Size of the total moment = 6.78 Bohr magnetons per cell
Excess energy over the best structure of this formula in the dataset = 1.112 eV per formula unit
Total DFT energy (no corrections) = -7.33 eV/atom

5.
Compound: CoC2
Source: the Alexandria database
Functional: PBE
Structure: optimized geometry

Unit cell a=3.1647 b=3.1647 c=5.1135 alpha=90.00 beta=90.00 gamma=90.00
Last column: nearest neighbours and their distance in Å.
Space group I4/mmm (No. 139)
Asymmetric unit:
Co1 0.0000 0.0000 0.0000 (multiplicity 2)  2 C 1.90
C1 0.0000 0.0000 0.3723 (multiplicity 4)  1 C 1.31

Size of the total moment = 0.69 Bohr magnetons per cell
Excess energy over the best structure of this formula in the dataset = 2.053 eV per formula unit
Total DFT energy (no corrections) = -7.34 eV/atom

6.
Compound: CoC5
Source: the Alexandria database
Functional: PBE
Structure: optimized geometry

Unit cell a=3.7039 b=3.7039 c=4.1711 alpha=90.00 beta=90.00 gamma=120.00
Last column: nearest neighbours and their distance in Å.
Space group P-62m (No. 189)
Asymmetric unit:
Co1 0.0000 0.0000 0.0000 (multiplicity 1)  12 C 2.14-2.25
C1 0.0000 0.7751 0.5000 (multiplicity 3)  2 C 1.44
C2 0.3333 0.6667 0.0000 (multiplicity 2)  3 Co 2.14, 3 C 2.14

Size of the total moment = 1.23 Bohr magnetons per cell
Excess energy over the best structure of this formula in the dataset = 13.746 eV per formula unit
Total DFT energy (no corrections) = -5.96 eV/atom

Number 1: energy of formation from the pure elements 0.626 eV/atom. Number 2: energy of formation from the pure elements 0.294 eV/atom. Number 3: energy of formation from the pure elements 0.336 eV/atom. Number 4: energy of formation from the pure elements 0.478 eV/atom. Number 5: energy of formation from the pure elements 1.175 eV/atom. Number 6: energy of formation from the pure elements 2.906 eV/atom.